No. 1
This record from Alexandria describes an optimized crystal structure of TeMoPt. The functional is PBE.

Geometry as extended XYZ:
```
6
Lattice="3.2866 0.0000 0.0000 -1.6433 2.8462 0.0000 0.0000 0.0000 12.5782" Properties=species:S:1:pos:R:3 pbc="T T T"
Te 0.0000 0.0000 1.9445
Te 0.0000 0.0000 10.6337
Mo 1.6433 0.9487 0.0000
Mo 1.6433 0.9487 6.2891
Pt 0.0000 1.8975 4.4389
Pt 0.0000 1.8975 8.1393
```

Values from the calculation:
- calculated total energy (eV per atom) = -6.515

=====

No. 2
This record from Alexandria describes an optimized crystal structure of LaAl2Cu2. The functional is PBE.

Geometry as extended XYZ:
```
10
Lattice="7.9257 0.0000 0.0000 0.0000 7.9257 0.0000 0.0000 0.0000 2.8514" Properties=species:S:1:pos:R:3 pbc="T T T"
La 0.0000 0.0000 0.0000
La 3.9629 3.9629 0.0000
Al 1.2522 2.7107 1.4257
Al 2.7107 6.6735 1.4257
Al 5.2151 1.2522 1.4257
Al 6.6735 5.2151 1.4257
Cu 0.9921 4.9550 0.0000
Cu 2.9707 0.9921 0.0000
Cu 4.9550 6.9336 0.0000
Cu 6.9336 2.9707 0.0000
```

Values from the calculation:
- energy of formation from the pure elements (eV per formula unit) = -0.63

=====

No. 3
This record from Alexandria describes an optimized crystal structure of BaAlAs2. The functional is PBE.

Geometry as extended XYZ:
```
12
Lattice="4.0287 0.0000 0.0000 -2.0143 3.4889 0.0000 0.0000 0.0000 22.2286" Properties=species:S:1:pos:R:3 pbc="T T T"
Ba 0.0000 0.0000 0.0000
Ba 0.0000 2.3260 14.8191
Ba 2.0143 1.1630 7.4095
Al 0.0000 0.0000 3.8207
Al 0.0000 2.3260 18.6397
Al 2.0143 1.1630 11.2302
As 0.0000 0.0000 12.4837
As 0.0000 0.0000 17.2000
As 0.0000 2.3260 5.0742
As 0.0000 2.3260 9.7905
As 2.0143 1.1630 2.3810
As 2.0143 1.1630 19.8932
```

Values from the calculation:
- energy of formation from the pure elements (eV per formula unit) = -1.91

=====

Q: Which V values were calculated for the entries above? A: 118 179 312, in Å³ per cell.